# Rb2Au2F5

A relaxed structure of Rb2Au2F5 (PBE, Alexandria).

a b c (Å): 15.1841 4.6098 5.9016
angles (deg): 90.00 111.85 90.00
Space group C2/m (No. 12)
Symmetry-distinct sites (fractional):
Rb 0.1262 0.0000 0.3064 [4 per cell]
Au 0.0827 0.5000 0.7666 [4 per cell]
F 0.0000 0.5000 0.0000 [2 per cell]
F 0.0799 0.0000 0.7828 [4 per cell]
F 0.1776 0.5000 0.5790 [4 per cell]

Properties
The calculation puts the uncorrected energy at -3.62 eV per atom.

***

# RbAu2F

A relaxed structure of RbAu2F (PBE, Alexandria).

a b c (Å): 7.3341 7.3341 7.3341
angles (deg): 90.00 90.00 90.00
Space group Fm-3m (No. 225)
Symmetry-distinct sites (fractional):
Rb 0.0000 0.0000 0.0000 [4 per cell]
Au 0.2500 0.2500 0.2500 [8 per cell]
F 0.0000 0.0000 0.5000 [4 per cell]

Properties
The calculation puts the energy relative to the lowest polymorph listed for this composition at 1058.1 meV per atom. The calculation puts the uncorrected energy at -2.26 eV per atom.

***

# Rb7Au3F2

A relaxed structure of Rb7Au3F2 (PBE, Alexandria).

a b c (Å): 5.7327 27.9897 5.4193
angles (deg): 90.00 90.00 90.00
Space group Cmmm (No. 65)
Symmetry-distinct sites (fractional):
Rb 0.0000 0.0000 0.0000 [2 per cell]
Rb 0.0000 0.1022 0.5000 [4 per cell]
Rb 0.0000 0.2052 0.0000 [4 per cell]
Rb 0.0000 0.4006 0.0000 [4 per cell]
Au 0.0000 0.3111 0.5000 [4 per cell]
Au 0.0000 0.5000 0.5000 [2 per cell]
F 0.0000 0.1017 0.0000 [4 per cell]

Properties
The calculation puts the uncorrected energy at -2.68 eV per atom.

***

# RbAu2F2

A relaxed structure of RbAu2F2 (PBE, Alexandria).

a b c (Å): 4.6595 4.6595 9.6667
angles (deg): 90.00 90.00 90.00
Space group I4/mmm (No. 139)
Symmetry-distinct sites (fractional):
Rb 0.0000 0.0000 0.0000 [2 per cell]
Au 0.0000 0.0000 0.3618 [4 per cell]
F 0.0000 0.5000 0.2500 [4 per cell]

Properties
The calculation puts the energy relative to the lowest polymorph listed for this composition at 71.3 meV per atom. The calculation puts the uncorrected energy at -3.01 eV per atom.

***

# Rb4Au2F

A relaxed structure of Rb4Au2F (PBE, Alexandria).

a b c (Å): 5.4693 5.4693 18.2231
angles (deg): 90.00 90.00 90.00
Space group I4/mmm (No. 139)
Symmetry-distinct sites (fractional):
Rb 0.0000 0.0000 0.1720 [4 per cell]
Rb 0.0000 0.5000 0.0000 [4 per cell]
Au 0.0000 0.0000 0.3680 [4 per cell]
F 0.0000 0.0000 0.0000 [2 per cell]

Properties
The calculation puts the energy relative to the lowest polymorph listed for this composition at 0.0 meV per atom. The calculation puts the uncorrected energy at -2.67 eV per atom.

***

# Rb2ReAuF6

A relaxed structure of Rb2ReAuF6 (PBE, Alexandria).

a b c (Å): 9.5609 9.5609 9.5609
angles (deg): 90.00 90.00 90.00
Space group Fm-3m (No. 225)
Symmetry-distinct sites (fractional):
Rb 0.2500 0.2500 0.2500 [8 per cell]
Re 0.0000 0.0000 0.0000 [4 per cell]
Au 0.0000 0.0000 0.5000 [4 per cell]
F 0.0000 0.0000 0.2081 [24 per cell]

Properties
The calculation puts the uncorrected energy at -4.79 eV per atom.

***

Ordered volume results: 21.300; 24.656; 36.232; 20.987; 38.937; 21.849; unit Å³ per atom.
Ordered raw formation energy results: -14.763; 0.337; -11.795; -3.803; -6.362; -18.992; unit eV/f.u..